# 1
Here is SrZrPb2 after structural relaxation from Alexandria. Energies are from PBE-GGA.

The space group is Pmmm (No. 47) and the conventional cell measures 3.4288, 4.3070 and 7.7416 Å, with angles of 90.00, 90.00 and 90.00 degrees. The inequivalent atoms are Sr at (0.0000, 0.0000, 0.0000), Zr at (0.0000, 0.0000, 0.5000) and Pb at (0.5000, 0.5000, 0.2834).

The formation enthalpy at 0 K comes out at -0.96 eV/f.u. For the total moment, the calculation gives 0.0 Bohr magnetons per cell. Its crystal system is orthorhombic.

---

# 2
Here is SeSIO2 after structural relaxation from Alexandria. Energies are from PBE-GGA.

The space group is P4/mmm (No. 123) and the conventional cell measures 3.8137, 3.8137 and 7.6123 Å, with angles of 90.00, 90.00 and 90.00 degrees. The inequivalent atoms are Se at (0.0000, 0.0000, 0.0000), S at (0.5000, 0.5000, 0.5000), I at (0.5000, 0.5000, 0.0000) and O at (0.0000, 0.5000, 0.5000).

For the total moment, the calculation gives 0.0 Bohr magnetons per cell. For the formation energy without anion corrections, the calculation gives 0.41 eV per atom. Its crystal system is tetragonal.